a.
Material: Sr2CaTi6N2O11
Method: DFT, PBE-GGA
State: optimized geometry

```
Sr2CaTi6N2O11
1.0
7.1784 -1.9373 0.0000
7.1784 1.9373 0.0000
-2.4391 0.0000 9.8295
Sr Ca Ti N O
2 1 6 2 11
direct
0.0000 0.0000 0.0000
0.0404 0.0404 0.3485
0.0579 0.0579 0.6830
0.3087 0.3087 0.0987
0.3660 0.3660 0.4304
0.3894 0.3894 0.7629
0.6710 0.6710 0.8948
0.7112 0.7112 0.2431
0.7586 0.7586 0.5835
0.2996 0.2996 0.5781
0.6904 0.6904 0.7228
0.1656 0.1656 0.9360
0.2370 0.2370 0.2620
0.3699 0.3699 0.9368
0.4204 0.4204 0.2295
0.4921 0.4921 0.5238
0.5317 0.5317 0.8298
0.5915 0.5915 0.1366
0.6616 0.6616 0.4165
0.7785 0.7785 0.0736
0.8525 0.8525 0.3998
0.9017 0.9017 0.7332
```

b.
Material: Sr2CaTi6N2O11
Method: DFT, PBE-GGA
State: optimized geometry

```
Sr2CaTi6N2O11
1.0
7.1868 -1.9396 0.0000
7.1868 1.9396 0.0000
-2.4754 0.0000 9.8249
Sr Ca Ti N O
2 1 6 2 11
direct
0.0000 0.0000 0.0000
0.0297 0.0297 0.3382
0.9763 0.9763 0.6542
0.2745 0.2745 0.7686
0.3299 0.3299 0.0991
0.3563 0.3563 0.4404
0.6396 0.6396 0.5690
0.6725 0.6725 0.9155
0.7285 0.7285 0.2550
0.2686 0.2686 0.2536
0.6640 0.6640 0.4003
0.1330 0.1330 0.6122
0.1978 0.1978 0.9315
0.3417 0.3417 0.6174
0.3823 0.3823 0.9060
0.4563 0.4563 0.1847
0.4997 0.4997 0.5054
0.5519 0.5519 0.8057
0.6266 0.6266 0.0901
0.7426 0.7426 0.7493
0.8135 0.8135 0.0715
0.8704 0.8704 0.4131
```

c.
Material: Sr2CaTi6N2O11
Method: DFT, PBE-GGA
State: optimized geometry

```
Sr2CaTi6N2O11
1.0
8.1327 -1.7629 0.0000
8.1327 1.7629 0.0000
-2.2225 0.0000 10.6915
Sr Ca Ti N O
2 1 6 2 11
direct
0.0000 0.0000 0.0000
0.0191 0.0191 0.4718
0.7874 0.7874 0.9330
0.3229 0.3229 0.4586
0.3253 0.3253 0.1822
0.3849 0.3849 0.7182
0.6106 0.6106 0.7970
0.6702 0.6702 0.2534
0.7090 0.7090 0.5562
0.2646 0.2646 0.6174
0.6117 0.6117 0.6344
0.1631 0.1631 0.8652
0.2186 0.2186 0.2634
0.3701 0.3701 0.0331
0.4053 0.4053 0.3213
0.4296 0.4296 0.5723
0.5048 0.5048 0.8320
0.5844 0.5844 0.1246
0.6202 0.6202 0.3928
0.7783 0.7783 0.1404
0.7882 0.7882 0.4217
0.8722 0.8722 0.7899
```

Short version: c is the least stable of them.

a.
Material: CaTe2NO
Method: DFT, PBE-GGA
State: optimized geometry

```
CaTe2NO
1.0
4.6691 0.0000 0.0000
0.0000 4.6691 0.0000
0.0000 0.0000 4.6704
Ca Te N O
1 2 1 1
direct
0.0000 0.0000 0.0000
0.0000 0.5000 0.5000
0.5000 0.0000 0.5000
0.5000 0.5000 0.0000
0.5000 0.5000 0.5000
```

b.
Material: CaTe2NO
Method: DFT, PBE-GGA
State: optimized geometry

```
CaTe2NO
1.0
5.9916 0.0000 0.0000
0.0000 5.9916 0.0000
0.0000 0.0000 4.5063
Ca Te N O
1 2 1 1
direct
0.0000 0.0000 0.0000
0.0000 0.5000 0.0000
0.5000 0.0000 0.0000
0.0000 0.0000 0.5000
0.5000 0.5000 0.5000
```

Short version: b is the least stable of them.

a.
Material: CaOsN2
Method: DFT, PBE-GGA
State: optimized geometry

```
CaOsN2
1.0
-2.4087 2.4087 5.1754
2.4087 -2.4087 5.1754
2.4087 2.4087 -5.1754
Ca Os N
2 2 4
direct
0.0000 0.0000 0.0000
0.7500 0.2500 0.5000
0.2500 0.7500 0.5000
0.5000 0.5000 0.0000
0.2113 0.6250 0.0863
0.3750 0.4613 0.5863
0.5387 0.1250 0.9137
0.8750 0.7887 0.4137
```

b.
Material: CaOsN2
Method: DFT, PBE-GGA
State: optimized geometry

```
CaOsN2
1.0
1.6264 0.9390 5.1148
-1.6264 0.9390 5.1148
0.0000 -1.8781 5.1148
Ca Os N
1 1 2
direct
0.0000 0.0000 0.0000
0.5000 0.5000 0.5000
0.2319 0.2319 0.2319
0.7681 0.7681 0.7681
```

Short version: b is the least stable of them.

a.
Material: CaOsN2
Method: DFT, PBE-GGA
State: optimized geometry

```
CaOsN2
1.0
0.0000 2.7681 2.7681
2.7681 0.0000 2.7681
2.7681 2.7681 0.0000
Ca Os N
1 1 2
direct
0.0000 0.0000 0.0000
0.5000 0.5000 0.5000
0.2500 0.2500 0.2500
0.7500 0.7500 0.7500
```

b.
Material: CaOsN2
Method: DFT, PBE-GGA
State: optimized geometry

```
CaOsN2
1.0
1.6767 0.9681 6.3603
-1.6767 0.9681 6.3603
0.0000 -1.9361 6.3603
Ca Os N
1 1 2
direct
0.0000 0.0000 0.0000
0.5000 0.5000 0.5000
0.4056 0.4056 0.4056
0.5944 0.5944 0.5944
```

Short version: a is the least stable of them.

a.
Material: CaOsSeN2
Method: DFT, PBE-GGA
State: optimized geometry

```
CaOsSeN2
1.0
4.1021 0.0000 0.0000
0.0000 4.1021 0.0000
0.0000 0.0000 5.3966
Ca Os Se N
1 1 1 2
direct
0.0000 0.0000 0.0000
0.5000 0.5000 0.5000
0.0000 0.0000 0.5000
0.0000 0.5000 0.0000
0.5000 0.0000 0.0000
```

b.
Material: CaOsSeN2
Method: DFT, PBE-GGA
State: optimized geometry

```
CaOsSeN2
1.0
3.8914 0.0000 0.0000
0.0000 3.8914 0.0000
0.0000 0.0000 5.4125
Ca Os Se N
1 1 1 2
direct
0.0000 0.0000 0.0000
0.5000 0.5000 0.5000
0.5000 0.5000 0.0000
0.0000 0.5000 0.5000
0.5000 0.0000 0.5000
```

Short version: a is the least stable of them.

a.
Material: Ca2SnOsN
Method: DFT, PBE-GGA
State: optimized geometry

```
Ca2SnOsN
1.0
5.1293 0.0000 0.0000
0.0000 5.1293 0.0000
0.0000 0.0000 3.8288
Ca Sn Os N
2 1 1 1
direct
0.0000 0.5000 0.0000
0.5000 0.0000 0.0000
0.0000 0.0000 0.5000
0.5000 0.5000 0.5000
0.5000 0.5000 0.0000
```

b.
Material: Ca2SnOsN
Method: DFT, PBE-GGA
State: optimized geometry

```
Ca2SnOsN
1.0
5.8989 0.0000 0.0000
0.0000 5.8989 0.0000
0.0000 0.0000 4.0259
Ca Sn Os N
2 1 1 1
direct
0.0000 0.5000 0.0000
0.5000 0.0000 0.0000
0.0000 0.0000 0.0000
0.5000 0.5000 0.5000
0.0000 0.0000 0.5000
```

Short version: b is the least stable of them.

a.
Material: Ca2PN
Method: DFT, PBE-GGA
State: optimized geometry

```
Ca2PN
1.0
-3.5472 3.5472 3.1588
3.5472 -3.5472 3.1588
3.5472 3.5472 -3.1588
Ca P N
4 2 2
direct
0.0584 0.6250 0.9334
0.3750 0.3084 0.4334
0.6916 0.1250 0.0666
0.8750 0.9416 0.5666
0.2500 0.7500 0.5000
0.5000 0.5000 0.0000
0.0000 0.0000 0.0000
0.7500 0.2500 0.5000
```

b.
Material: Ca2PN
Method: DFT, PBE-GGA
State: optimized geometry

```
Ca2PN
1.0
0.0000 3.3548 3.3548
3.3548 0.0000 3.3548
3.3548 3.3548 0.0000
Ca P N
2 1 1
direct
0.2500 0.2500 0.2500
0.7500 0.7500 0.7500
0.0000 0.0000 0.0000
0.5000 0.5000 0.5000
```

Short version: b is the least stable of them.

a.
Material: Ca4P2N
Method: DFT, PBE-GGA
State: optimized geometry

```
Ca4P2N
1.0
-2.3048 2.3048 7.4446
2.3048 -2.3048 7.4446
2.3048 2.3048 -7.4446
Ca P N
4 2 1
direct
0.0000 0.5000 0.5000
0.1693 0.1693 0.0000
0.5000 0.0000 0.5000
0.8307 0.8307 0.0000
0.3634 0.3634 0.0000
0.6366 0.6366 0.0000
0.0000 0.0000 0.0000
```

b.
Material: Ca4P2N
Method: DFT, PBE-GGA
State: optimized geometry

```
Ca4P2N
1.0
6.3740 0.0000 0.0000
0.0000 6.5597 0.0000
-2.9413 0.0000 8.0504
Ca P N
8 4 2
direct
0.0282 0.0084 0.2430
0.0282 0.4916 0.2430
0.4270 0.2500 0.5925
0.4583 0.2500 0.1373
0.5417 0.7500 0.8627
0.5730 0.7500 0.4075
0.9718 0.5084 0.7570
0.9718 0.9916 0.7570
0.1803 0.7500 0.5454
0.2617 0.7500 0.0628
0.7383 0.2500 0.9372
0.8197 0.2500 0.4546
0.2849 0.2500 0.3213
0.7151 0.7500 0.6787
```

Short version: b is the least stable of them.